Density functional theory data (PBE) for a geometry-optimized Tb4CeSe5 structure.

Cell: 4.118 4.118 29.087 Å, 90.00 90.00 90.00°
Space group I4/mmm (No. 139)
Inequivalent atoms, fractional coordinates:
Tb1 0.000 0.000 0.100 [4 per cell]
Tb2 0.000 0.000 0.301 [4 per cell]
Ce1 0.000 0.000 0.500 [2 per cell]
Se1 0.000 0.000 0.000 [2 per cell]
Se2 0.000 0.000 0.201 [4 per cell]
Se3 0.000 0.000 0.399 [4 per cell]

The calculation puts the size of the total moment at 0.945 μB per formula unit. The calculation puts the formation energy without anion corrections at -1.782 eV per atom. The calculation puts the uncorrected energy at -119.40 eV/cell.